A relaxed structure of MnBeTeN2, computed with PBE.

* total energy: -5.86 eV/atom
* total magnetic moment: 0.000 μB/atom
* energy relative to the elements, uncorrected: 0.68 eV/atom
* polymorph energy (0 for the lowest one): 0.000 eV/atom

Unit cell a=3.5918 b=3.5918 c=5.5998 alpha=90.00 beta=90.00 gamma=90.00
Sites, in units of the cell vectors:
N (0.5000, 0.0000, 0.0000)
N (0.0000, 0.5000, 0.0000)
Te (0.0000, 0.0000, 0.5000)
Be (0.5000, 0.5000, 0.5000)
Mn (0.0000, 0.0000, 0.0000)